No. 1
A plane-wave DFT calculation with PBE-GGA was carried out for a relaxed Y3ThAs4 crystal.

abc: 7.1988 7.1988 4.1676
angles: 90.00 90.00 109.48
Element x y z (fractional)
Y1 0.0000 0.0000 0.0000
Y2 0.0000 0.5000 0.5000
Y3 0.5000 0.0000 0.5000
Th1 0.5000 0.5000 0.0000
As1 0.2452 0.2452 0.5000
As2 0.2482 0.7518 0.0000
As3 0.7518 0.2482 0.0000
As4 0.7548 0.7548 0.5000

Output
- crystal system = orthorhombic
- formation energy (eV per atom) = -1.532
- N(E_F) (states/eV/f.u.) = 1.60
- magnetic moment (μB per atom) = 0.0000


No. 2
A plane-wave DFT calculation with PBE-GGA was carried out for a relaxed Lu2BeZn crystal.

abc: 4.8316 4.8316 4.8316
angles: 60.00 60.00 60.00
Element x y z (fractional)
Lu1 0.2500 0.2500 0.2500
Lu2 0.7500 0.7500 0.7500
Be1 0.0000 0.0000 0.0000
Zn1 0.5000 0.5000 0.5000

Output
- crystal system = cubic
- formation energy (eV per atom) = -0.141
- N(E_F) (states/eV/f.u.) = 2.65
- magnetic moment (μB per atom) = 0.0000
- offset from the most stable computed form (meV/atom) = 6


No. 3
A plane-wave DFT calculation with PBE-GGA was carried out for a relaxed TaAl2Rh crystal.

abc: 9.0074 9.0074 9.0074
angles: 18.48 18.48 18.48
Element x y z (fractional)
Ta1 0.0000 0.0000 0.0000
Al1 0.5086 0.5086 0.5086
Al2 0.7544 0.7544 0.7544
Rh1 0.2504 0.2504 0.2504

Output
- crystal system = trigonal
- formation energy (eV per atom) = -0.323
- N(E_F) (states/eV/f.u.) = 2.39
- magnetic moment (μB per atom) = 0.0000


No. 4
A plane-wave DFT calculation with PBE-GGA was carried out for a relaxed TiMn2PdN crystal.

abc: 3.9411 3.9411 4.0822
angles: 90.00 90.00 90.00
Element x y z (fractional)
Ti1 0.0000 0.0000 0.0000
Mn1 0.0000 0.5000 0.5000
Mn2 0.5000 0.0000 0.5000
Pd1 0.5000 0.5000 0.0000
N1 0.0000 0.0000 0.5000

Output
- crystal system = tetragonal
- formation energy from raw total energies (eV/atom) = -0.551
- N(E_F) (states/eV/f.u.) = 3.81
- magnetic moment (μB per atom) = 1.1299


Which value of N(E_F) does entry 3 give?
2.39 states/eV/f.u.